1.
! CaTl2Br3Cl, optimized geometry, DFT PBE; values from VASP
&SYSTEM
  ibrav = 0, nat = 14, ntyp = 4
/
ATOMIC_SPECIES
Ca 40.08 Ca.upf
Tl 204.38 Tl.upf
Br 79.90 Br.upf
Cl 35.45 Cl.upf
ATOMIC_POSITIONS angstrom
Ca 0.0000 0.0000 0.0000
Ca 2.6655 2.8293 8.4544
Tl 0.0000 0.0000 6.0327
Tl 0.0000 0.0000 10.8760
Tl 2.6655 2.8293 2.4216
Tl 2.6655 2.8293 14.4871
Br 0.0000 0.0000 2.8936
Br 0.0000 0.0000 14.0151
Br 0.0000 2.8293 0.0000
Br 2.6655 0.0000 8.4544
Br 2.6655 2.8293 5.5607
Br 2.6655 2.8293 11.3480
Cl 0.0000 2.8293 8.4544
Cl 2.6655 0.0000 0.0000
CELL_PARAMETERS angstrom
5.3309 0.0000 0.0000
0.0000 5.6586 0.0000
0.0000 0.0000 16.9087
! Space-group type: Immm (71)
! Raw formation energy, eV per formula unit: -9.8
! Calculated density, g/cm3: 4.71


2.
! ScSb2Pb, optimized geometry, DFT PBE; values from VASP
&SYSTEM
  ibrav = 0, nat = 8, ntyp = 3
/
ATOMIC_SPECIES
Sc 44.96 Sc.upf
Sb 121.76 Sb.upf
Pb 207.20 Pb.upf
ATOMIC_POSITIONS angstrom
Sc 0.0000 0.0000 0.0000
Sc 2.2002 2.7238 0.0000
Sb 0.0000 0.0000 4.6030
Sb 0.0000 2.7238 7.0181
Sb 2.2002 0.0000 7.0181
Sb 2.2002 2.7238 4.6030
Pb 0.0000 2.7238 2.2203
Pb 2.2002 0.0000 2.2203
CELL_PARAMETERS angstrom
4.4004 0.0000 0.0000
0.0000 5.4476 0.0000
0.0000 0.0000 8.8921
! Space-group type: Cmm2 (35)
! Raw formation energy, eV per formula unit: -0.4
! Calculated density, g/cm3: 7.72


3.
! CoAuSN2, optimized geometry, DFT PBE; values from VASP
&SYSTEM
  ibrav = 0, nat = 5, ntyp = 4
/
ATOMIC_SPECIES
Co 58.93 Co.upf
Au 196.97 Au.upf
S 32.06 S.upf
N 14.01 N.upf
ATOMIC_POSITIONS angstrom
Co 0.0000 0.0000 0.0000
Au 1.9219 1.9219 3.4411
S 1.9219 1.9219 0.0000
N 0.0000 1.9219 3.4411
N 1.9219 0.0000 3.4411
CELL_PARAMETERS angstrom
3.8437 0.0000 0.0000
0.0000 3.8437 0.0000
0.0000 0.0000 6.8822
! Space-group type: P4/mmm (123)
! Raw formation energy, eV per formula unit: 9.9
! Calculated density, g/cm3: 5.16
! Distance to the lowest polymorph of the same formula, eV per atom: 0.941


4.
! BeCd4Ir, optimized geometry, DFT PBE; values from VASP
&SYSTEM
  ibrav = 0, nat = 6, ntyp = 3
/
ATOMIC_SPECIES
Be 9.01 Be.upf
Cd 112.41 Cd.upf
Ir 192.22 Ir.upf
ATOMIC_POSITIONS angstrom
Be 0.0000 0.0000 0.0000
Cd 4.8110 2.8885 2.8885
Cd 2.8885 4.8110 2.8885
Cd 2.8885 2.8885 4.8110
Cd 4.8110 4.8110 4.8110
Ir 1.9249 1.9249 1.9249
CELL_PARAMETERS angstrom
0.0000 3.8497 3.8497
3.8497 0.0000 3.8497
3.8497 3.8497 0.0000
! Space-group type: F-43m (216)
! Calculated density, g/cm3: 9.47
! E_form, eV/atom: 0.658


5.
! CsIrSe2Br, optimized geometry, DFT PBE; values from VASP
&SYSTEM
  ibrav = 0, nat = 5, ntyp = 4
/
ATOMIC_SPECIES
Cs 132.91 Cs.upf
Ir 192.22 Ir.upf
Se 78.96 Se.upf
Br 79.90 Br.upf
ATOMIC_POSITIONS angstrom
Cs 0.0000 0.0000 0.0000
Ir 2.8633 2.8633 3.2154
Se 0.0000 2.8633 0.0000
Se 2.8633 0.0000 0.0000
Br 0.0000 0.0000 3.2154
CELL_PARAMETERS angstrom
5.7266 0.0000 0.0000
0.0000 5.7266 0.0000
0.0000 0.0000 6.4307
! Space-group type: P4/mmm (123)
! Raw formation energy, eV per formula unit: 9.3
! Calculated density, g/cm3: 4.43
! Distance to the lowest polymorph of the same formula, eV per atom: 2.118


6.
! Be2FeRe, optimized geometry, DFT PBE; values from VASP
&SYSTEM
  ibrav = 0, nat = 4, ntyp = 3
/
ATOMIC_SPECIES
Be 9.01 Be.upf
Fe 55.84 Fe.upf
Re 186.21 Re.upf
ATOMIC_POSITIONS angstrom
Be 0.0000 1.8327 0.0000
Be 1.8327 0.0000 0.0000
Fe 0.0000 0.0000 1.6038
Re 1.8327 1.8327 1.6038
CELL_PARAMETERS angstrom
3.6654 0.0000 0.0000
0.0000 3.6654 0.0000
0.0000 0.0000 3.2076
! Space-group type: P4/mmm (123)
! Calculated density, g/cm3: 10.02
! E_form, eV/atom: -0.008
! Distance to the lowest polymorph of the same formula, eV per atom: 0.114